# NbFe2RhN

A geometry-optimized NbFe2RhN structure (PBE, the Alexandria database).

```
data_NbFe2RhN
_symmetry_space_group_name_H-M 'P 1'
_symmetry_Int_Tables_number 1
_symmetry_space_group_name_Hall 'P 1'
_cell_length_a 3.834
_cell_length_b 3.834
_cell_length_c 4.226
_cell_angle_alpha 90.00
_cell_angle_beta 90.00
_cell_angle_gamma 90.00
loop_
_atom_site_label
_atom_site_type_symbol
_atom_site_fract_x
_atom_site_fract_y
_atom_site_fract_z
Nb1 Nb 0.000 0.000 0.500
Rh1 Rh 0.500 0.500 0.500
Fe1 Fe 0.000 0.500 0.000
Fe2 Fe 0.500 0.000 0.000
N1 N 0.000 0.000 0.000
```

# Nb2FeRuN

A geometry-optimized Nb2FeRuN structure (PBE, the Alexandria database).

```
data_Nb2FeRuN
_symmetry_space_group_name_H-M 'P 1'
_symmetry_Int_Tables_number 1
_symmetry_space_group_name_Hall 'P 1'
_cell_length_a 4.274
_cell_length_b 4.274
_cell_length_c 3.715
_cell_angle_alpha 90.00
_cell_angle_beta 90.00
_cell_angle_gamma 90.00
loop_
_atom_site_label
_atom_site_type_symbol
_atom_site_fract_x
_atom_site_fract_y
_atom_site_fract_z
Ru1 Ru 0.500 0.500 0.500
Nb1 Nb 0.000 0.500 0.000
Nb2 Nb 0.500 0.000 0.000
Fe1 Fe 0.000 0.000 0.500
N1 N 0.000 0.000 0.000
```

Number 1: electronic total energy -8.835 eV/atom, N(E_F) 4.871 states/eV/cell. Number 2: electronic total energy -9.632 eV/atom, N(E_F) 4.805 states/eV/cell.